Record 1
Below is an optimized crystal structure of LiFeSn2S, with properties calculated at the GGA-PBE level.

Lattice parameters (Å, degrees): 5.484 4.029 5.484 90.00 90.00 90.00
Positions (direct):
Sn 0.500 0.000 0.000
Sn 0.000 0.000 0.500
Li 0.500 0.500 0.500
Fe 0.000 0.500 0.000
S 0.000 0.000 0.000

## Properties
N(E_F): 0.946 states/eV per atom
ΔE_f (raw): 1.30 eV per formula unit
Space group: P4/mmm, No. 123
Uncorrected energy: -4.241 eV/atom
Spin magnetization: 1.86 Bohr magnetons per cell

Record 2
Below is an optimized crystal structure of BaReP3, with properties calculated at the GGA-PBE level.

Lattice parameters (Å, degrees): 5.287 5.287 5.287 90.00 90.00 90.00
Positions (direct):
Re 0.500 0.500 0.500
P 0.500 0.000 0.000
P 0.000 0.000 0.500
P 0.000 0.500 0.000
Ba 0.000 0.000 0.000

## Properties
N(E_F): 2.824 states/eV per atom
Space group: Pm-3m, No. 221
Uncorrected energy: -3.274 eV/atom
Spin magnetization: 0.00 Bohr magnetons per cell

Record 3
Below is an optimized crystal structure of CaLa2Zr2, with properties calculated at the GGA-PBE level.

Lattice parameters (Å, degrees): 9.520 9.520 3.472 90.00 90.00 90.00
Positions (direct):
Zr 0.888 0.612 0.000
Zr 0.112 0.388 0.000
Zr 0.388 0.888 0.000
Zr 0.612 0.112 0.000
Ca 0.500 0.500 0.000
Ca 0.000 0.000 0.000
La 0.685 0.815 0.500
La 0.815 0.315 0.500
La 0.185 0.685 0.500
La 0.315 0.185 0.500

## Properties
N(E_F): 2.027 states/eV per atom
Space group: P4/mbm, No. 127
Uncorrected energy: -5.563 eV/atom
Spin magnetization: 0.00 Bohr magnetons per cell